Density functional theory data (PBE) for an optimized crystal structure of Er2Pa2Pd.

Calculated values
Raw total energy   -6.5714 eV/atom
SG   P6_3/mmc
Formation energy from the elements   87 meV per atom

The structure in POSCAR format:
```
Er2Pa2Pd
1.0
-0.6500 5.2911 0.2184
-1.8714 -2.7477 -4.1730
-9.1592 -1.3309 4.9839
Er Pa Pd
4 4 2
direct
0.6667 0.3333 0.0852 Er
0.6667 0.3333 0.4148 Er
0.3333 0.6667 0.5852 Er
0.3333 0.6667 0.9148 Er
0.0000 0.0000 0.0000 Pa
0.3333 0.6667 0.2500 Pa
0.0000 0.0000 0.5000 Pa
0.6667 0.3333 0.7500 Pa
0.0000 0.0000 0.2500 Pd
0.0000 0.0000 0.7500 Pd
```